A plane-wave DFT calculation with GGA-PBEsol was carried out for a relaxed structure of ZrCu2Mo.

abc: 3.7971 3.7971 4.9203
angles: 112.70 112.70 90.00
With the nearest neighbours (Å) after each atom.
Element x y z (fractional)
Cu  0.0000  0.0000  0.0000  4 Mo 2.68, 4 Zr 2.80, 4 Cu 2.80
Cu  0.7500  0.2500  0.5000  4 Zr 2.68, 4 Mo 2.80, 4 Cu 2.80
Mo  0.5000  0.5000  0.0000  8 Cu 2.68-2.80, 4 Zr 2.80
Zr  0.2500  0.7500  0.5000  8 Cu 2.68-2.80, 4 Mo 2.80

Output
Its mass density is 8.8 g/cm³. The density of states at the Fermi level is 3.51 states/eV/f.u. The total magnetization is 0.0 μB per formula unit. The total energy comes out at -7.186 eV per atom.